(1)
Material: CaNb2Br
Method: DFT, GGA-PBE
State: relaxed

Calculated values
Space group: Fm-3m

Cell: 4.970 4.970 4.970 Å, 60.00 60.00 60.00°
Sites, in units of the cell vectors:
Nb  0.750  0.750  0.750
Br  0.500  0.500  0.500
Ca  0.000  0.000  0.000
Nb  0.250  0.250  0.250

(2)
Material: Ca3NbBr
Method: DFT, GGA-PBE
State: relaxed

Calculated values
Space group: Pm-3m

Cell: 5.553 5.553 5.553 Å, 90.00 90.00 90.00°
Sites, in units of the cell vectors:
Ca  0.500  0.000  0.000
Nb  0.500  0.500  0.500
Ca  0.000  0.000  0.500
Br  0.000  0.000  0.000
Ca  0.000  0.500  0.000

(3)
Material: CaNbBr6
Method: DFT, GGA-PBE
State: relaxed

Calculated values
Space group: R-3

Cell: 6.910 6.910 7.424 Å, 62.25 62.25 59.99°
Sites, in units of the cell vectors:
Nb  0.000  0.000  0.000
Br  0.226  0.929  0.237
Br  0.071  0.392  0.763
Br  0.929  0.608  0.237
Br  0.392  0.775  0.763
Br  0.608  0.225  0.237
Ca  0.500  0.500  0.500
Br  0.774  0.071  0.763

(4)
Material: CaNbBr6
Method: DFT, GGA-PBE
State: relaxed

Calculated values
Space group: C2/m

Cell: 6.846 8.039 7.331 Å, 106.00 98.44 125.72°
Sites, in units of the cell vectors:
Br  0.540  0.267  0.000
Br  0.460  0.733  0.000
Br  0.149  0.418  0.289
Br  0.859  0.129  0.711
Ca  0.000  0.000  0.000
Br  0.141  0.871  0.289
Br  0.851  0.582  0.711
Nb  0.000  0.500  0.000

(5)
Material: CaNb2Br
Method: DFT, GGA-PBE
State: relaxed

Calculated values
Space group: I4_1/amd

Cell: 4.820 4.820 10.378 Å, 76.57 76.57 90.00°
Sites, in units of the cell vectors:
Nb  0.375  0.125  0.750
Nb  0.875  0.625  0.250
Nb  0.875  0.125  0.750
Nb  0.875  0.125  0.250
Br  0.750  0.250  0.500
Br  0.000  0.000  0.000
Ca  0.500  0.500  0.000
Ca  0.250  0.750  0.500

(6)
Material: Ca3NbBr
Method: DFT, GGA-PBE
State: relaxed

Calculated values
Space group: Pm-3m

Cell: 5.618 5.618 5.618 Å, 90.00 90.00 90.00°
Sites, in units of the cell vectors:
Nb  0.000  0.000  0.000
Ca  0.000  0.500  0.000
Ca  0.000  0.000  0.500
Br  0.500  0.500  0.500
Ca  0.500  0.000  0.000

(7)
Material: CaNb2PBr
Method: DFT, GGA-PBE
State: relaxed

Calculated values
Space group: P4/mmm

Cell: 5.308 4.896 5.308 Å, 90.00 90.00 90.00°
Sites, in units of the cell vectors:
Br  0.500  0.500  0.500
P  0.000  0.500  0.000
Ca  0.000  0.000  0.000
Nb  0.000  0.000  0.500
Nb  0.500  0.000  0.000

(8)
Material: CaNbRu2Br
Method: DFT, GGA-PBE
State: relaxed

Calculated values
Space group: P4/mmm

Cell: 4.677 4.987 4.677 Å, 90.00 90.00 90.00°
Sites, in units of the cell vectors:
Ca  0.000  0.000  0.000
Br  0.000  0.500  0.000
Nb  0.500  0.500  0.500
Ru  0.500  0.000  0.000
Ru  0.000  0.000  0.500

Raw total energy / eV per atom: -4.747, -3.257, -3.977, -3.997, -5.159, -2.964, -3.935, -4.536
Density of states at the Fermi level / states/eV per cell: 5.37, 2.57, 5.96, 4.65, 6.85, 6.10, 7.47, 6.68
Formation energy without anion corrections / meV/atom: 1206, 293, -1213, -1233, 795, 585, 1909, 1923